The following is a DFT calculation (PBE) of a relaxed AsOsF2 crystal.

a = 4.254 Å, b = 4.254 Å, c = 4.254 Å
α = 60.00°, β = 60.00°, γ = 60.00°
Element x y z (fractional)
1 As 0.000 0.000 0.000
2 Os 0.500 0.500 0.500
3 F 0.250 0.250 0.250
4 F 0.750 0.750 0.750

Summary:
The calculation puts the formation energy from raw total energies at 0.3446 eV per atom. As for the space-group type: No. 225. The calculation puts the total magnetization at 2.9 μB per formula unit. The value obtained for the total energy is -18.244 eV per cell. The polymorph energy (0 for the lowest one) comes out at 0.630 eV/atom.